This record from OQMD describes ZrFeB4 after structural relaxation. The functional is PBE-GGA.

Computed properties:
energy relative to the lowest polymorph listed for this composition: 255.8 meV per atom

Cell lengths 3.0788, 5.2803, 6.8551 Å; angles 90.00, 90.00, 90.00 degrees
Closest atoms and distances in Å follow each position.
Space group Immm (No. 71)
One atom of each set of equivalent atoms:
Zr 0.0000 0.0000 0.0000 x2  12 B 2.45-2.47
Fe 0.0000 0.0000 0.5000 x2  12 B 2.44-2.48
B 0.0000 0.3301 0.2507 x8  3 B 1.76-1.79

---

This record from OQMD describes Zr2FeB after structural relaxation. The functional is PBE-GGA.

Cell lengths 3.3946, 3.3946, 13.3044 Å; angles 90.00, 90.00, 120.00 degrees
Closest atoms and distances in Å follow each position.
Space group P6_3/mmc (No. 194)
One atom of each set of equivalent atoms:
Zr 0.3333 0.6667 0.1042 x4  3 B 2.40
Fe 0.3333 0.6667 0.7500 x2  6 Zr 2.76
B 0.0000 0.0000 0.0000 x2  6 Zr 2.40

---

This record from OQMD describes ZrFeB4 after structural relaxation. The functional is PBE-GGA.

Computed properties:
energy relative to the lowest polymorph listed for this composition: 0.0 meV per atom

Cell lengths 5.7724, 11.1924, 3.2626 Å; angles 90.00, 90.00, 90.00 degrees
Closest atoms and distances in Å follow each position.
Space group Pbam (No. 55)
One atom of each set of equivalent atoms:
Zr 0.1278 0.1497 0.0000 x4  14 B 2.49-2.62
Fe 0.1329 0.4099 0.0000 x4  10 B 2.15-2.24
B 0.0260 0.6930 0.5000 x4  3 B 1.71-1.80
B 0.1136 0.5467 0.5000 x4  3 B 1.68-1.71
B 0.1347 0.9677 0.5000 x4  3 B 1.70-1.78
B 0.2136 0.8136 0.5000 x4  3 B 1.73-1.80

---

This record from OQMD describes ZrFeB4 after structural relaxation. The functional is PBE-GGA.

Computed properties:
energy relative to the lowest polymorph listed for this composition: 163.3 meV per atom

Cell lengths 3.1158, 3.1158, 6.2817 Å; angles 90.00, 90.00, 120.00 degrees
Closest atoms and distances in Å follow each position.
Space group P6/mmm (No. 191)
One atom of each set of equivalent atoms:
Zr 0.0000 0.0000 0.0000 x1  12 B 2.51
Fe 0.0000 0.0000 0.5000 x1  12 B 2.27
B 0.3333 0.6667 0.2785 x4  3 B 1.80

---

This record from OQMD describes Zr2FeB after structural relaxation. The functional is PBE-GGA.

Cell lengths 6.1399, 6.1399, 6.1399 Å; angles 90.00, 90.00, 90.00 degrees
Closest atoms and distances in Å follow each position.
Space group F-43m (No. 216)
One atom of each set of equivalent atoms:
Zr 0.0000 0.0000 0.0000 x4  4 Zr 2.66, 4 Fe 2.66
Zr 0.2500 0.2500 0.2500 x4  4 B 2.66, 4 Zr 2.66
Fe 0.2500 0.2500 0.7500 x4  4 Zr 2.66, 4 B 2.66
B 0.0000 0.0000 0.5000 x4  4 Fe 2.66, 4 Zr 2.66

---

This record from OQMD describes GdGaB after structural relaxation. The functional is PBE-GGA.

Cell lengths 5.9177, 5.9177, 5.9177 Å; angles 90.00, 90.00, 90.00 degrees
Closest atoms and distances in Å follow each position.
Space group F-43m (No. 216)
One atom of each set of equivalent atoms:
Gd 0.0000 0.0000 0.0000 x4  4 B 2.56
Ga 0.0000 0.0000 0.5000 x4  4 B 2.56
B 0.2500 0.2500 0.7500 x4  4 Gd 2.56, 4 Ga 2.56

---

This record from OQMD describes GdGa3B2 after structural relaxation. The functional is PBE-GGA.

Cell lengths 5.4104, 5.4104, 3.4742 Å; angles 90.00, 90.00, 120.00 degrees
Closest atoms and distances in Å follow each position.
Space group P6/mmm (No. 191)
One atom of each set of equivalent atoms:
Gd 0.0000 0.0000 0.0000 x1  6 B 3.12, 12 Ga 3.21, 2 Gd 3.47
Ga 0.0000 0.5000 0.5000 x3  4 B 2.34
B 0.3333 0.6667 0.0000 x2  6 Ga 2.34

---

This record from OQMD describes HfGaB4 after structural relaxation. The functional is PBE-GGA.

Computed properties:
energy relative to the lowest polymorph listed for this composition: 0.0 meV per atom

Cell lengths 3.0953, 5.1842, 7.3836 Å; angles 90.00, 90.00, 90.00 degrees
Closest atoms and distances in Å follow each position.
Space group Immm (No. 71)
One atom of each set of equivalent atoms:
Hf 0.0000 0.0000 0.0000 x2  12 B 2.54-2.55
Ga 0.0000 0.0000 0.5000 x2  12 B 2.50-2.59
B 0.0000 0.3316 0.2546 x8  3 B 1.75-1.76

---

This record from OQMD describes HfGaB4 after structural relaxation. The functional is PBE-GGA.

Computed properties:
energy relative to the lowest polymorph listed for this composition: 29.1 meV per atom

Cell lengths 3.1019, 3.1019, 7.3164 Å; angles 90.00, 90.00, 120.00 degrees
Closest atoms and distances in Å follow each position.
Space group P6/mmm (No. 191)
One atom of each set of equivalent atoms:
Hf 0.0000 0.0000 0.0000 x1  12 B 2.51
Ga 0.0000 0.0000 0.5000 x1  12 B 2.62
B 0.3333 0.6667 0.2395 x4  3 B 1.79

---

This record from OQMD describes Hf4GaB3 after structural relaxation. The functional is PBE-GGA.

Cell lengths 3.3985, 3.3985, 25.4900 Å; angles 90.00, 90.00, 120.00 degrees
Closest atoms and distances in Å follow each position.
Space group P6_3/mmc (No. 194)
One atom of each set of equivalent atoms:
Hf 0.0000 0.0000 0.1611 x4  3 B 2.32
Hf 0.3333 0.6667 0.0563 x4  6 B 2.43
Ga 0.3333 0.6667 0.2500 x2  6 Hf 3.00
B 0.0000 0.0000 0.0000 x2  6 Hf 2.43
B 0.3333 0.6667 0.6123 x4  6 Hf 2.32-2.43

---

This record from OQMD describes Hf6Ga2B after structural relaxation. The functional is PBE-GGA.

Cell lengths 7.4831, 7.4831, 3.4764 Å; angles 90.00, 90.00, 120.00 degrees
Closest atoms and distances in Å follow each position.
Space group P-62m (No. 189)
One atom of each set of equivalent atoms:
Hf 0.0000 0.2367 0.0000 x3  2 B 2.48
Hf 0.0000 0.6000 0.5000 x3  4 Ga 2.87, 1 B 2.99, 4 Hf 3.13
Ga 0.3333 0.6667 0.0000 x2  9 Hf 2.87-2.92
B 0.0000 0.0000 0.5000 x1  6 Hf 2.48

---

This record from OQMD describes Hf4GaSnB2 after structural relaxation. The functional is PBE-GGA.

Cell lengths 3.4089, 3.4089, 14.5127 Å; angles 90.00, 90.00, 120.00 degrees
Closest atoms and distances in Å follow each position.
Space group P-6m2 (No. 187)
One atom of each set of equivalent atoms:
Hf 0.0000 0.0000 0.1559 x2  3 B 2.36
Hf 0.3333 0.6667 0.3322 x2  3 B 2.34
Ga 0.3333 0.6667 0.0000 x1  6 Hf 3.00
Sn 0.0000 0.0000 0.5000 x1  6 Hf 3.13, 6 Sn 3.41
B 0.6667 0.3333 0.2455 x2  6 Hf 2.34-2.36

---

This record from OQMD describes GaHgB2 after structural relaxation. The functional is PBE-GGA.

Cell lengths 6.1978, 6.1978, 6.1978 Å; angles 90.00, 90.00, 90.00 degrees
Closest atoms and distances in Å follow each position.
Space group F-43m (No. 216)
One atom of each set of equivalent atoms:
Ga 0.0000 0.0000 0.0000 x4  4 Hg 2.68, 4 B 2.68
Hg 0.2500 0.2500 0.2500 x4  4 B 2.68, 4 Ga 2.68
B 0.0000 0.0000 0.5000 x4  4 B 2.68, 4 Hg 2.68
B 0.2500 0.2500 0.7500 x4  4 B 2.68, 4 Ga 2.68

---

This record from OQMD describes GaHgB4 after structural relaxation. The functional is PBE-GGA.

Computed properties:
energy relative to the lowest polymorph listed for this composition: 0.0 meV per atom

Cell lengths 3.0177, 3.0177, 9.1367 Å; angles 90.00, 90.00, 120.00 degrees
Closest atoms and distances in Å follow each position.
Space group P6/mmm (No. 191)
One atom of each set of equivalent atoms:
Ga 0.0000 0.0000 0.0000 x1  12 B 2.42
Hg 0.0000 0.0000 0.5000 x1  6 Hg 3.02, 12 B 3.37
B 0.3333 0.6667 0.1839 x4  3 B 1.74

---

This record from OQMD describes Ga2HgB after structural relaxation. The functional is PBE-GGA.

Cell lengths 6.5610, 6.5610, 6.5610 Å; angles 90.00, 90.00, 90.00 degrees
Closest atoms and distances in Å follow each position.
Space group F-43m (No. 216)
One atom of each set of equivalent atoms:
Ga 0.0000 0.0000 0.0000 x4  4 Hg 2.84, 4 Ga 2.84
Ga 0.2500 0.2500 0.2500 x4  4 B 2.84, 4 Ga 2.84
Hg 0.2500 0.2500 0.7500 x4  4 B 2.84, 4 Ga 2.84
B 0.0000 0.0000 0.5000 x4  4 Ga 2.84, 4 Hg 2.84

---

This record from OQMD describes GaHgB4 after structural relaxation. The functional is PBE-GGA.

Computed properties:
energy relative to the lowest polymorph listed for this composition: 130.6 meV per atom

Cell lengths 3.0739, 5.2892, 8.3365 Å; angles 90.00, 90.00, 90.00 degrees
Closest atoms and distances in Å follow each position.
Space group Immm (No. 71)
One atom of each set of equivalent atoms:
Ga 0.0000 0.0000 0.0000 x2  12 B 2.68-2.78
Hg 0.0000 0.0000 0.5000 x2  12 B 2.66-2.80
B 0.0000 0.3314 0.2592 x8  3 B 1.77-1.78

---

This record from OQMD describes HoGaB4 after structural relaxation. The functional is PBE-GGA.

Computed properties:
energy relative to the lowest polymorph listed for this composition: 0.0 meV per atom

Cell lengths 3.1872, 5.1692, 7.9559 Å; angles 90.00, 90.00, 90.00 degrees
Closest atoms and distances in Å follow each position.
Space group Immm (No. 71)
One atom of each set of equivalent atoms:
Ho 0.0000 0.0000 0.0000 x2  12 B 2.63-2.68
Ga 0.0000 0.0000 0.5000 x2  12 B 2.53-2.78
B 0.0000 0.3250 0.2627 x8  3 B 1.78-1.81

---

This record from OQMD describes HoGaB4 after structural relaxation. The functional is PBE-GGA.

Computed properties:
energy relative to the lowest polymorph listed for this composition: 152.2 meV per atom

Cell lengths 3.1578, 3.1578, 7.2939 Å; angles 90.00, 90.00, 120.00 degrees
Closest atoms and distances in Å follow each position.
Space group P6/mmm (No. 191)
One atom of each set of equivalent atoms:
Ho 0.0000 0.0000 0.0000 x1  12 B 2.68
Ga 0.0000 0.0000 0.5000 x1  12 B 2.48
B 0.3333 0.6667 0.2686 x4  3 B 1.82

---

This record from OQMD describes GaB4Ir after structural relaxation. The functional is PBE-GGA.

Computed properties:
energy relative to the lowest polymorph listed for this composition: 28.6 meV per atom

Cell lengths 3.0633, 3.0633, 6.9644 Å; angles 90.00, 90.00, 120.00 degrees
Closest atoms and distances in Å follow each position.
Space group P6/mmm (No. 191)
One atom of each set of equivalent atoms:
Ga 0.0000 0.0000 0.0000 x1  12 B 2.53
B 0.3333 0.6667 0.2588 x4  3 B 1.77
Ir 0.0000 0.0000 0.5000 x1  12 B 2.44

---

This record from OQMD describes GaB4Ir after structural relaxation. The functional is PBE-GGA.

Computed properties:
energy relative to the lowest polymorph listed for this composition: 0.0 meV per atom

Cell lengths 3.0366, 5.2825, 6.9224 Å; angles 90.00, 90.00, 90.00 degrees
Closest atoms and distances in Å follow each position.
Space group Immm (No. 71)
One atom of each set of equivalent atoms:
Ga 0.0000 0.0000 0.0000 x2  12 B 2.42-2.51
B 0.0000 0.3329 0.2589 x8  3 B 1.76-1.77
Ir 0.0000 0.0000 0.5000 x2  12 B 2.42-2.51

---

The following calculated total energy values (in eV per cell) correspond, in order, to the records above: -92.076; -64.420; -190.293; -46.593; -120.684; -58.989; -25.772; -82.403; -41.027; -132.918; -76.107; -64.388; -39.483; -27.002; -37.687; -52.437; -71.006; -34.590; -36.111; -72.565.